{"formula": "CaTiFeCl", "functional": "PBE-GGA", "state": "optimized geometry", "final_energy_ev_per_atom": -5.55, "e_form_raw_ev_per_atom": -0.497, "cell": [[3.1089, 0.0000, 0.0000], [0.0000, 3.1891, 0.0000], [0.0000, 0.0000, 14.7654]], "species": ["Ca", "Fe", "Cl", "Cl", "Ti", "Ti", "Ca", "Fe"], "frac_coords": [[0.0000, 0.0000, 0.3446], [0.5000, 0.0000, 0.7057], [0.5000, 0.5000, 0.4777], [0.5000, 0.0000, 0.9777], [0.0000, 0.0000, 0.1307], [0.0000, 0.5000, 0.6307], [0.0000, 0.5000, 0.8446], [0.5000, 0.5000, 0.2057]]}